Below is crystalline Ac5CdSe8 at its relaxed geometry, with properties calculated at the PBE-GGA level.

a b c (Å): 8.138 8.138 8.138
angles (deg): 109.55 109.32 109.55
Atoms (fractional coordinates):
1 Ac 0.015 0.382 0.133
2 Ac 0.867 0.881 0.249
3 Ac 0.751 0.618 0.632
4 Ac 0.500 0.000 0.500
5 Ac 0.368 0.119 0.985
6 Cd 0.250 0.500 0.750
7 Se 0.134 0.756 0.031
8 Se 0.969 0.104 0.725
9 Se 0.757 0.241 0.358
10 Se 0.642 0.399 0.883
11 Se 0.484 0.601 0.243
12 Se 0.622 0.896 0.866
13 Se 0.275 0.244 0.378
14 Se 0.117 0.759 0.516

Results
Magnetic moment (μB per formula unit): 0.00
SG: I-4 (82)
Energy relative to the elements, uncorrected (eV per atom): -1.80
Energy (eV/atom): -5.328